(1)
Compound: Pr2Ho
Source: OQMD
Functional: PBE
Structure: optimized geometry

Results
crystal system: cubic
distance to the lowest polymorph of the same formula: 1893 meV per atom
space group: Fd-3m, No. 227
calculated formation energy: 2.160 eV/atom

Lattice parameters (Å, degrees): 9.231 9.231 9.231 60.00 60.00 60.00
Element x y z (fractional)
Pr 0.000 0.000 0.000
Pr 0.000 0.000 0.500
Pr 0.000 0.500 0.000
Pr 0.500 0.000 0.000
Ho 0.125 0.125 0.125
Ho 0.875 0.875 0.875

---

(2)
Compound: PrHo
Source: OQMD
Functional: PBE
Structure: optimized geometry

Results
crystal system: cubic
distance to the lowest polymorph of the same formula: 0 meV per atom
space group: Fm-3m, No. 225
calculated formation energy: 0.665 eV/atom

Lattice parameters (Å, degrees): 6.506 6.506 6.506 90.00 90.00 90.00
Element x y z (fractional)
Pr 0.000 0.000 0.000
Pr 0.000 0.500 0.500
Pr 0.500 0.000 0.500
Pr 0.500 0.500 0.000
Ho 0.000 0.000 0.500
Ho 0.000 0.500 0.000
Ho 0.500 0.000 0.000
Ho 0.500 0.500 0.500

---

(3)
Compound: PrHo2
Source: OQMD
Functional: PBE
Structure: optimized geometry

Results
crystal system: cubic
distance to the lowest polymorph of the same formula: 0 meV per atom
space group: Fd-3m, No. 227
calculated formation energy: 0.280 eV/atom

Lattice parameters (Å, degrees): 6.629 6.629 6.629 60.00 60.00 60.00
Element x y z (fractional)
Pr 0.125 0.125 0.125
Pr 0.875 0.875 0.875
Ho 0.000 0.500 0.500
Ho 0.500 0.000 0.500
Ho 0.500 0.500 0.000
Ho 0.500 0.500 0.500

---

(4)
Compound: PrHo2
Source: OQMD
Functional: PBE
Structure: optimized geometry

Results
crystal system: cubic
distance to the lowest polymorph of the same formula: 2268 meV per atom
space group: Fd-3m, No. 227
calculated formation energy: 2.548 eV/atom

Lattice parameters (Å, degrees): 8.977 8.977 8.977 60.00 60.00 60.00
Element x y z (fractional)
Pr 0.125 0.125 0.125
Pr 0.875 0.875 0.875
Ho 0.000 0.000 0.000
Ho 0.000 0.000 0.500
Ho 0.000 0.500 0.000
Ho 0.500 0.000 0.000

---

(5)
Compound: PrHo
Source: OQMD
Functional: PBE
Structure: optimized geometry

Results
crystal system: cubic
distance to the lowest polymorph of the same formula: 1040 meV per atom
space group: F-43m, No. 216
calculated formation energy: 1.705 eV/atom

Lattice parameters (Å, degrees): 7.110 7.110 7.110 90.00 90.00 90.00
Element x y z (fractional)
Pr 0.000 0.000 0.000
Pr 0.000 0.500 0.500
Pr 0.500 0.000 0.500
Pr 0.500 0.500 0.000
Ho 0.250 0.250 0.250
Ho 0.250 0.750 0.750
Ho 0.750 0.250 0.750
Ho 0.750 0.750 0.250

---

(6)
Compound: Pr2Ho
Source: OQMD
Functional: PBE
Structure: optimized geometry

Results
crystal system: cubic
distance to the lowest polymorph of the same formula: 0 meV per atom
space group: Fd-3m, No. 227
calculated formation energy: 0.267 eV/atom

Lattice parameters (Å, degrees): 6.696 6.696 6.696 60.00 60.00 60.00
Element x y z (fractional)
Pr 0.000 0.000 0.000
Pr 0.000 0.000 0.500
Pr 0.000 0.500 0.000
Pr 0.500 0.000 0.000
Ho 0.375 0.375 0.375
Ho 0.625 0.625 0.625